(1)
Material: FeOs2W
Method: DFT, PBE-GGA
State: relaxed

Structure (POSCAR):
```
FeOs2W
1.0
-1.909 1.909 3.838
1.909 -1.909 3.838
1.909 1.909 -3.838
Fe Os W
1 2 1
Direct
0.000 0.000 0.000 Fe
0.250 0.750 0.500 Os
0.500 0.500 0.000 Os
0.750 0.250 0.500 W
```

The calculation puts the final energy at -43.57 eV per cell. As for the distance to the lowest polymorph of the same formula: 34 meV/atom. For the volume, the calculation gives 56.0 Å³/cell. Its formation energy is 76 meV/atom. Its size of the total moment is 0.85 μB per formula unit.

(2)
Material: FeOs2W
Method: DFT, PBE-GGA
State: relaxed

Structure (POSCAR):
```
FeOs2W
1.0
2.932 0.000 0.000
0.000 4.376 0.000
0.000 0.000 4.495
Fe Os W
1 2 1
Direct
0.000 0.000 0.000 Fe
0.000 0.500 0.500 Os
0.500 0.500 0.000 Os
0.500 0.000 0.500 W
```

The calculation puts the final energy at -42.42 eV per cell. As for the distance to the lowest polymorph of the same formula: 322 meV/atom. For the volume, the calculation gives 57.7 Å³/cell. Its formation energy is 364 meV/atom. Its size of the total moment is 2.54 μB per formula unit.

(3)
Material: FeOsW
Method: DFT, PBE-GGA
State: relaxed

Structure (POSCAR):
```
FeOsW
1.0
0.000 2.858 2.858
2.858 0.000 2.858
2.858 2.858 0.000
Fe Os W
1 1 1
Direct
0.000 0.000 0.000 Fe
0.250 0.250 0.250 Os
0.750 0.750 0.750 W
```

The calculation puts the final energy at -30.71 eV per cell. As for the distance to the lowest polymorph of the same formula: 510 meV/atom. For the volume, the calculation gives 46.7 Å³/cell. Its formation energy is 645 meV/atom. Its size of the total moment is 1.18 μB per formula unit.

(4)
Material: Fe2OsW
Method: DFT, PBE-GGA
State: relaxed

Structure (POSCAR):
```
Fe2OsW
1.0
2.604 -4.230 0.000
2.604 4.230 0.000
-0.858 0.000 2.492
Fe Os W
2 1 1
Direct
0.000 0.500 0.000 Fe
0.500 0.000 0.000 Fe
0.000 0.000 0.500 Os
0.500 0.500 0.500 W
```

The calculation puts the final energy at -40.27 eV per cell. For the volume, the calculation gives 54.9 Å³/cell. Its formation energy is 210 meV/atom. Its size of the total moment is 4.85 μB per formula unit.

(5)
Material: Fe2OsW
Method: DFT, PBE-GGA
State: relaxed

Structure (POSCAR):
```
Fe2OsW
1.0
-3.351 3.351 2.556
3.351 -3.351 2.556
3.351 3.351 -2.556
Fe Os W
4 2 2
Direct
0.120 0.625 0.995 Fe
0.375 0.370 0.495 Fe
0.630 0.125 0.005 Fe
0.875 0.880 0.505 Fe
0.000 0.000 0.000 Os
0.750 0.250 0.500 Os
0.250 0.750 0.500 W
0.500 0.500 0.000 W
```

The calculation puts the final energy at -75.80 eV per cell. For the volume, the calculation gives 114.8 Å³/cell. Its formation energy is 802 meV/atom. Its size of the total moment is 3.27 μB per formula unit.

(6)
Material: Fe2OsW
Method: DFT, PBE-GGA
State: relaxed

Structure (POSCAR):
```
Fe2OsW
1.0
2.686 0.000 0.000
0.000 3.716 0.000
0.000 0.000 5.323
Fe Os W
2 1 1
Direct
0.000 0.000 0.000 Fe
0.500 0.500 0.228 Fe
0.000 0.000 0.465 Os
0.500 0.500 0.746 W
```

The calculation puts the final energy at -40.55 eV per cell. For the volume, the calculation gives 53.1 Å³/cell. Its formation energy is 139 meV/atom. Its size of the total moment is 3.00 μB per formula unit.

(7)
Material: FeOsW4
Method: DFT, PBE-GGA
State: relaxed

Structure (POSCAR):
```
FeOsW4
1.0
0.000 3.658 3.658
3.658 0.000 3.658
3.658 3.658 0.000
Fe Os W
1 1 4
Direct
0.000 0.000 0.000 Fe
0.250 0.250 0.250 Os
0.122 0.626 0.626 W
0.626 0.122 0.626 W
0.626 0.626 0.122 W
0.626 0.626 0.626 W
```

The calculation puts the final energy at -67.78 eV per cell. For the volume, the calculation gives 97.9 Å³/cell. Its formation energy is 620 meV/atom. Its size of the total moment is 1.79 μB per formula unit.

(8)
Material: FeOs2W
Method: DFT, PBE-GGA
State: relaxed

Structure (POSCAR):
```
FeOs2W
1.0
0.000 3.074 3.074
3.074 0.000 3.074
3.074 3.074 0.000
Fe Os W
1 2 1
Direct
0.000 0.000 0.000 Fe
0.250 0.250 0.250 Os
0.750 0.750 0.750 Os
0.500 0.500 0.500 W
```

The calculation puts the final energy at -43.13 eV per cell. As for the distance to the lowest polymorph of the same formula: 145 meV/atom. For the volume, the calculation gives 58.1 Å³/cell. Its formation energy is 187 meV/atom. Its size of the total moment is 3.75 μB per formula unit.

(9)
Material: Fe2OsW
Method: DFT, PBE-GGA
State: relaxed

Structure (POSCAR):
```
Fe2OsW
1.0
3.054 0.000 0.000
0.000 4.233 0.000
0.000 0.000 4.242
Fe Os W
2 1 1
Direct
0.000 0.000 0.000 Fe
0.500 0.000 0.500 Fe
0.000 0.500 0.500 Os
0.500 0.500 0.000 W
```

The calculation puts the final energy at -40.47 eV per cell. For the volume, the calculation gives 54.8 Å³/cell. Its formation energy is 160 meV/atom. Its size of the total moment is 4.80 μB per formula unit.

(10)
Material: Fe3OsW
Method: DFT, PBE-GGA
State: relaxed

Structure (POSCAR):
```
Fe3OsW
1.0
4.361 0.000 0.000
0.000 4.361 0.000
0.000 0.000 4.361
Fe Os W
3 1 1
Direct
0.000 0.000 0.500 Fe
0.000 0.500 0.000 Fe
0.500 0.000 0.000 Fe
0.500 0.500 0.500 Os
0.000 0.000 0.000 W
```

The calculation puts the final energy at -39.56 eV per cell. As for the distance to the lowest polymorph of the same formula: 109 meV/atom. For the volume, the calculation gives 83.0 Å³/cell. Its formation energy is 2003 meV/atom. Its size of the total moment is 5.62 μB per formula unit.

(11)
Material: Fe3OsW
Method: DFT, PBE-GGA
State: relaxed

Structure (POSCAR):
```
Fe3OsW
1.0
4.396 0.000 0.000
0.000 4.396 0.000
0.000 0.000 4.396
Fe Os W
3 1 1
Direct
0.000 0.000 0.500 Fe
0.000 0.500 0.000 Fe
0.500 0.000 0.000 Fe
0.000 0.000 0.000 Os
0.500 0.500 0.500 W
```

The calculation puts the final energy at -40.10 eV per cell. As for the distance to the lowest polymorph of the same formula: 0 meV/atom. For the volume, the calculation gives 85.0 Å³/cell. Its formation energy is 1894 meV/atom. Its size of the total moment is 4.49 μB per formula unit.

(12)
Material: FeOs2W
Method: DFT, PBE-GGA
State: relaxed

Structure (POSCAR):
```
FeOs2W
1.0
2.722 -3.760 0.000
2.722 3.760 0.000
0.000 0.000 2.781
Fe Os W
1 2 1
Direct
0.000 0.000 0.000 Fe
0.000 0.500 0.500 Os
0.500 0.000 0.500 Os
0.500 0.500 0.000 W
```

The calculation puts the final energy at -43.27 eV per cell. As for the distance to the lowest polymorph of the same formula: 109 meV/atom. For the volume, the calculation gives 56.9 Å³/cell. Its formation energy is 151 meV/atom. Its size of the total moment is 1.60 μB per formula unit.